(1)
Compound: Sc2Zn3Hg3
Source: OQMD
Functional: PBE-GGA
Structure: optimized geometry

Structure (CIF):
```
data_Sc2Zn3Hg3
_chemical_formula_sum 'Sc4 Zn6 Hg6'
_cell_length_a 4.6774
_cell_length_b 6.2608
_cell_length_c 10.7271
_cell_angle_alpha 90.00
_cell_angle_beta 90.00
_cell_angle_gamma 90.00
_space_group_name_H-M_alt 'A m m 2'
_space_group_IT_number 38
loop_
_space_group_symop_operation_xyz
'x,y,z'
'-x,-y,z'
'-x,y,z'
'x,-y,z'
'x,y+1/2,z+1/2'
'-x,-y+1/2,z+1/2'
'-x,y+1/2,z+1/2'
'x,-y+1/2,z+1/2'
loop_
_atom_site_label
_atom_site_fract_x
_atom_site_fract_y
_atom_site_fract_z
_atom_site_occupancy
Sc1 0.0000 0.0000 0.0000 1
Sc2 0.5000 0.0000 0.3342 1
Zn1 0.0000 0.2310 0.7573 1
Zn2 0.5000 0.0000 0.8283 1
Hg1 0.0000 0.0000 0.4922 1
Hg2 0.5000 0.2454 0.0943 1
```

Energy relative to the lowest polymorph listed for this composition in eV/f.u.: 0.09
DFT formation energy in eV per atom: -0.24
Spin magnetization in μB/f.u.: 0.00


(2)
Compound: ZrSc2Hg2
Source: OQMD
Functional: PBE-GGA
Structure: optimized geometry

Structure (CIF):
```
data_ZrSc2Hg2
_chemical_formula_sum 'Zr2 Sc4 Hg4'
_cell_length_a 4.2619
_cell_length_b 4.2619
_cell_length_c 12.7921
_cell_angle_alpha 90.00
_cell_angle_beta 90.00
_cell_angle_gamma 90.00
_space_group_name_H-M_alt 'I 4/m m m'
_space_group_IT_number 139
_space_group_name_Hall '-I 4 2'
loop_
_atom_site_label
_atom_site_fract_x
_atom_site_fract_y
_atom_site_fract_z
_atom_site_occupancy
Zr1 0.0000 0.0000 0.0000 1
Sc1 0.0000 0.5000 0.2500 1
Hg1 0.0000 0.0000 0.3962 1
```

DFT formation energy in eV per atom: 0.02
Spin magnetization in μB/f.u.: 0.01


(3)
Compound: Zr2ScHg
Source: OQMD
Functional: PBE-GGA
Structure: optimized geometry

Structure (CIF):
```
data_Zr2ScHg
_chemical_formula_sum 'Zr8 Sc4 Hg4'
_cell_length_a 6.1308
_cell_length_b 11.0492
_cell_length_c 5.2134
_cell_angle_alpha 90.00
_cell_angle_beta 90.00
_cell_angle_gamma 90.00
_space_group_name_H-M_alt 'C m c m'
_space_group_IT_number 63
_space_group_name_Hall '-C 2c 2'
loop_
_atom_site_label
_atom_site_fract_x
_atom_site_fract_y
_atom_site_fract_z
_atom_site_occupancy
Zr1 0.2437 0.0791 0.2500 1
Sc1 0.0000 0.3296 0.2500 1
Hg1 0.0000 0.1734 0.7500 1
```

DFT formation energy in eV per atom: -0.10
Spin magnetization in μB/f.u.: 0.01


(4)
Compound: ZrSc2Hg5
Source: OQMD
Functional: PBE-GGA
Structure: optimized geometry

Structure (CIF):
```
data_ZrSc2Hg5
_chemical_formula_sum 'Zr2 Sc4 Hg10'
_cell_length_a 4.9537
_cell_length_b 6.7893
_cell_length_c 10.3275
_cell_angle_alpha 90.00
_cell_angle_beta 90.00
_cell_angle_gamma 90.00
_space_group_name_H-M_alt 'A m m 2'
_space_group_IT_number 38
loop_
_space_group_symop_operation_xyz
'x,y,z'
'-x,-y,z'
'-x,y,z'
'x,-y,z'
'x,y+1/2,z+1/2'
'-x,-y+1/2,z+1/2'
'-x,y+1/2,z+1/2'
'x,-y+1/2,z+1/2'
loop_
_atom_site_label
_atom_site_fract_x
_atom_site_fract_y
_atom_site_fract_z
_atom_site_occupancy
Zr1 0.0000 0.0000 0.0000 1
Sc1 0.0000 0.0000 0.4666 1
Sc2 0.5000 0.0000 0.7868 1
Hg1 0.0000 0.2281 0.7323 1
Hg2 0.5000 0.0000 0.2844 1
Hg3 0.5000 0.2472 0.5341 1
```

DFT formation energy in eV per atom: -0.22
Spin magnetization in μB/f.u.: 1.04


(5)
Compound: Zr2Sc2Hg
Source: OQMD
Functional: PBE-GGA
Structure: optimized geometry

Structure (CIF):
```
data_Zr2Sc2Hg
_chemical_formula_sum 'Zr4 Sc4 Hg2'
_cell_length_a 4.1664
_cell_length_b 4.1664
_cell_length_c 13.2155
_cell_angle_alpha 90.00
_cell_angle_beta 90.00
_cell_angle_gamma 90.00
_space_group_name_H-M_alt 'I 4/m m m'
_space_group_IT_number 139
_space_group_name_Hall '-I 4 2'
loop_
_atom_site_label
_atom_site_fract_x
_atom_site_fract_y
_atom_site_fract_z
_atom_site_occupancy
Zr1 0.0000 0.5000 0.2500 1
Sc1 0.0000 0.0000 0.0922 1
Hg1 0.0000 0.0000 0.5000 1
```

DFT formation energy in eV per atom: 0.47
Spin magnetization in μB/f.u.: 0.06


(6)
Compound: Zr2ScHg
Source: OQMD
Functional: PBE-GGA
Structure: optimized geometry

Structure (CIF):
```
data_Zr2ScHg
_chemical_formula_sum 'Zr8 Sc4 Hg4'
_cell_length_a 4.9885
_cell_length_b 10.2931
_cell_length_c 6.9483
_cell_angle_alpha 90.00
_cell_angle_beta 90.00
_cell_angle_gamma 90.00
_space_group_name_H-M_alt 'A m a 2'
_space_group_IT_number 40
loop_
_space_group_symop_operation_xyz
'x,y,z'
'-x,-y,z'
'-x+1/2,y,z'
'x+1/2,-y,z'
'x,y+1/2,z+1/2'
'-x,-y+1/2,z+1/2'
'-x+1/2,y+1/2,z+1/2'
'x+1/2,-y+1/2,z+1/2'
loop_
_atom_site_label
_atom_site_fract_x
_atom_site_fract_y
_atom_site_fract_z
_atom_site_occupancy
Zr1 0.2500 0.1032 0.0000 1
Zr2 0.2500 0.3845 0.2362 1
Sc1 0.2500 0.3863 0.7783 1
Hg1 0.2500 0.1564 0.5048 1
```

DFT formation energy in eV per atom: -0.13
Spin magnetization in μB/f.u.: 0.00